[1]
First-principles (GGA-PBE) data for an optimized crystal structure of La8Dy3Tm, as listed in Alexandria via LeMat-Bulk.

Structure (CIF):
```
data_La8Dy3Tm
_chemical_formula_sum 'La16 Dy6 Tm2'
_space_group_name_H-M_alt 'I -4 2 m'
_space_group_IT_number 121
_space_group_name_Hall 'I -4 2'
_cell_length_a 8.855
_cell_length_b 8.855
_cell_length_c 11.758
_cell_angle_alpha 90.00
_cell_angle_beta 90.00
_cell_angle_gamma 90.00
loop_
_atom_site_label
_atom_site_fract_x
_atom_site_fract_y
_atom_site_fract_z
La1 0.123 0.123 0.250
La2 0.250 0.250 0.498
Dy1 0.000 0.000 0.500
Dy2 0.000 0.500 0.250
Tm1 0.000 0.000 0.000
```

Results
* DFT total energy: -4.2822 eV per atom
* energy relative to the elements: 0.526 eV per atom
* DOS(E_F): 1.744 states/eV/atom

***

[2]
First-principles (GGA-PBE) data for an optimized crystal structure of La4Sm3Dy, as listed in Alexandria via LeMat-Bulk.

Structure (CIF):
```
data_La4Sm3Dy
_chemical_formula_sum 'La8 Sm6 Dy2'
_space_group_name_H-M_alt 'C m m m'
_space_group_IT_number 65
_space_group_name_Hall '-C 2 2'
_cell_length_a 11.990
_cell_length_b 13.644
_cell_length_c 3.461
_cell_angle_alpha 90.00
_cell_angle_beta 90.00
_cell_angle_gamma 90.00
loop_
_atom_site_label
_atom_site_fract_x
_atom_site_fract_y
_atom_site_fract_z
La1 0.000 0.247 0.000
La2 0.249 0.000 0.500
Sm1 0.000 0.500 0.000
Sm2 0.250 0.250 0.500
Dy1 0.000 0.000 0.000
```

Results
* DFT total energy: -4.4606 eV per atom
* energy relative to the elements: 0.348 eV per atom
* DOS(E_F): 2.421 states/eV/atom

***

[3]
First-principles (GGA-PBE) data for an optimized crystal structure of La2TbDyTm5, as listed in Alexandria via LeMat-Bulk.

Structure (CIF):
```
data_La2TbDyTm5
_chemical_formula_sum 'La8 Tb4 Dy4 Tm20'
_space_group_name_H-M_alt 'C m c 21'
_space_group_IT_number 36
_cell_length_a 5.617
_cell_length_b 19.646
_cell_length_c 10.733
_cell_angle_alpha 90.00
_cell_angle_beta 90.00
_cell_angle_gamma 90.00
loop_
_space_group_symop_operation_xyz
'x,y,z'
'-x,-y,z+1/2'
'-x,y,z'
'x,-y,z+1/2'
'x+1/2,y+1/2,z'
'-x+1/2,-y+1/2,z+1/2'
'-x+1/2,y+1/2,z'
'x+1/2,-y+1/2,z+1/2'
loop_
_atom_site_label
_atom_site_fract_x
_atom_site_fract_y
_atom_site_fract_z
La1 0.000 0.112 0.000
La2 0.000 0.115 0.586
Tb1 0.000 0.202 0.277
Dy1 0.000 0.415 0.728
Tm1 0.000 0.017 0.294
Tm2 0.000 0.283 0.571
Tm3 0.000 0.300 0.975
Tm4 0.000 0.391 0.288
Tm5 0.000 0.480 0.005
```

Results
* DFT total energy: -4.4643 eV per atom
* energy relative to the elements: 0.141 eV per atom
* DOS(E_F): 1.312 states/eV/atom

***

[4]
First-principles (GGA-PBE) data for an optimized crystal structure of Ca3LaCd, as listed in Alexandria via LeMat-Bulk.

Structure (CIF):
```
data_Ca3LaCd
_chemical_formula_sum 'Ca3 La1 Cd1'
_space_group_name_H-M_alt 'P m -3 m'
_space_group_IT_number 221
_space_group_name_Hall '-P 4 2 3'
_cell_length_a 5.892
_cell_length_b 5.892
_cell_length_c 5.892
_cell_angle_alpha 90.00
_cell_angle_beta 90.00
_cell_angle_gamma 90.00
loop_
_atom_site_label
_atom_site_fract_x
_atom_site_fract_y
_atom_site_fract_z
Ca1 0.000 0.000 0.500
La1 0.500 0.500 0.500
Cd1 0.000 0.000 0.000
```

Results
* DFT total energy: -2.2186 eV per atom
* energy relative to the elements: 0.151 eV per atom
* DOS(E_F): 1.114 states/eV/atom

***

[5]
First-principles (GGA-PBE) data for an optimized crystal structure of TaCr3Cu2S8, as listed in Alexandria via LeMat-Bulk.

Structure (CIF):
```
data_TaCr3Cu2S8
_chemical_formula_sum 'Ta2 Cr6 Cu4 S16'
_space_group_name_H-M_alt 'P 1 21/c 1'
_space_group_IT_number 14
_cell_length_a 5.766
_cell_length_b 12.162
_cell_length_c 8.897
_cell_angle_alpha 90.00
_cell_angle_beta 129.15
_cell_angle_gamma 90.00
loop_
_space_group_symop_operation_xyz
'x,y,z'
'-x,-y,-z'
'-x,y+1/2,-z+1/2'
'x,-y+1/2,z+1/2'
loop_
_atom_site_label
_atom_site_fract_x
_atom_site_fract_y
_atom_site_fract_z
Ta1 0.000 0.000 0.000
Cr1 0.228 0.246 0.734
Cr2 0.500 0.000 0.500
Cu1 0.158 0.585 0.263
S1 0.010 0.586 0.759
S2 0.255 0.672 0.519
S3 0.266 0.169 0.495
S4 0.473 0.089 0.251
```

Results
* DFT total energy: -6.4735 eV per atom
* DOS(E_F): 0.269 states/eV/atom

***

[6]
First-principles (GGA-PBE) data for an optimized crystal structure of CdIn5, as listed in Alexandria via LeMat-Bulk.

Structure (CIF):
```
data_CdIn5
_chemical_formula_sum 'Cd2 In10'
_space_group_name_H-M_alt 'C 1 m 1'
_space_group_IT_number 8
_cell_length_a 12.211
_cell_length_b 3.480
_cell_length_c 7.854
_cell_angle_alpha 90.00
_cell_angle_beta 106.76
_cell_angle_gamma 90.00
loop_
_space_group_symop_operation_xyz
'x,y,z'
'x,-y,z'
'x+1/2,y+1/2,z'
'x+1/2,-y+1/2,z'
loop_
_atom_site_label
_atom_site_fract_x
_atom_site_fract_y
_atom_site_fract_z
Cd1 0.000 0.000 0.000
In1 0.108 0.500 0.733
In2 0.167 0.500 0.327
In3 0.284 0.000 0.060
In4 0.327 0.000 0.667
In5 0.448 0.500 0.394
```

Results
* DFT total energy: -2.4081 eV per atom
* energy relative to the elements: 0.026 eV per atom
* DOS(E_F): 0.291 states/eV/atom

***

[7]
First-principles (GGA-PBE) data for an optimized crystal structure of WBr, as listed in Alexandria via LeMat-Bulk.

Structure (CIF):
```
data_WBr
_chemical_formula_sum 'W6 Br6'
_space_group_name_H-M_alt 'P m -3 n'
_space_group_IT_number 223
_space_group_name_Hall '-P 4n 2 3'
_cell_length_a 7.005
_cell_length_b 7.005
_cell_length_c 7.005
_cell_angle_alpha 90.00
_cell_angle_beta 90.00
_cell_angle_gamma 90.00
loop_
_atom_site_label
_atom_site_fract_x
_atom_site_fract_y
_atom_site_fract_z
W1 0.000 0.250 0.500
Br1 0.000 0.500 0.250
```

Results
* DFT total energy: -5.0629 eV per atom
* DOS(E_F): 1.065 states/eV/atom

***

[8]
First-principles (GGA-PBE) data for an optimized crystal structure of CsNp4Se6, as listed in Alexandria via LeMat-Bulk.

Structure (CIF):
```
data_CsNp4Se6
_chemical_formula_sum 'Cs4 Np16 Se24'
_space_group_name_H-M_alt 'C m c m'
_space_group_IT_number 63
_space_group_name_Hall '-C 2c 2'
_cell_length_a 4.199
_cell_length_b 13.907
_cell_length_c 21.861
_cell_angle_alpha 90.00
_cell_angle_beta 90.00
_cell_angle_gamma 90.00
loop_
_atom_site_label
_atom_site_fract_x
_atom_site_fract_y
_atom_site_fract_z
Cs1 0.000 0.163 0.250
Np1 0.000 0.097 0.625
Np2 0.000 0.363 0.538
Se1 0.000 0.000 0.000
Se2 0.000 0.134 0.750
Se3 0.000 0.267 0.083
Se4 0.000 0.466 0.648
```

Results
* DFT total energy: -7.8204 eV per atom
* DOS(E_F): 3.829 states/eV/atom

***

[9]
First-principles (GGA-PBE) data for an optimized crystal structure of RbAcHo4S8, as listed in Alexandria via LeMat-Bulk.

Structure (CIF):
```
data_RbAcHo4S8
_chemical_formula_sum 'Rb3 Ac3 Ho12 S24'
_space_group_name_H-M_alt 'R 3 m'
_space_group_IT_number 160
_space_group_name_Hall 'R 3 -2"'
_cell_length_a 8.2213
_cell_length_b 8.2213
_cell_length_c 21.2630
_cell_angle_alpha 90.00
_cell_angle_beta 90.00
_cell_angle_gamma 120.00
loop_
_atom_site_label
_atom_site_fract_x
_atom_site_fract_y
_atom_site_fract_z
Rb1 0.0000 0.0000 0.0000
Ac1 0.0000 0.0000 0.6367
Ho1 0.0000 0.0000 0.2585
Ho2 0.1725 0.3451 0.4646
S1 0.0000 0.0000 0.3890
S2 0.0000 0.0000 0.8616
S3 0.0377 0.5188 0.3969
S4 0.1710 0.3419 0.2100
```

Results
* DFT total energy: -5.9321 eV per atom
* DOS(E_F): 0.000 states/eV/atom

***

[10]
First-principles (GGA-PBE) data for an optimized crystal structure of K2BI, as listed in Alexandria via LeMat-Bulk.

Structure (CIF):
```
data_K2BI
_chemical_formula_sum 'K8 B4 I4'
_space_group_name_H-M_alt 'F m -3 m'
_space_group_IT_number 225
_space_group_name_Hall '-F 4 2 3'
_cell_length_a 8.255
_cell_length_b 8.255
_cell_length_c 8.255
_cell_angle_alpha 90.00
_cell_angle_beta 90.00
_cell_angle_gamma 90.00
loop_
_atom_site_label
_atom_site_fract_x
_atom_site_fract_y
_atom_site_fract_z
K1 0.250 0.250 0.250
B1 0.000 0.000 0.000
I1 0.000 0.000 0.500
```

Results
* DFT total energy: -2.1910 eV per atom
* DOS(E_F): 1.411 states/eV/atom

***

[11]
First-principles (GGA-PBE) data for an optimized crystal structure of HgBiI2N, as listed in Alexandria via LeMat-Bulk.

Structure (CIF):
```
data_HgBiI2N
_chemical_formula_sum 'Hg1 Bi1 I2 N1'
_space_group_name_H-M_alt 'P 4/m m m'
_space_group_IT_number 123
_space_group_name_Hall '-P 4 2'
_cell_length_a 6.359
_cell_length_b 6.359
_cell_length_c 4.343
_cell_angle_alpha 90.00
_cell_angle_beta 90.00
_cell_angle_gamma 90.00
loop_
_atom_site_label
_atom_site_fract_x
_atom_site_fract_y
_atom_site_fract_z
Hg1 0.000 0.000 0.000
Bi1 0.500 0.500 0.500
I1 0.000 0.500 0.500
N1 0.500 0.500 0.000
```

Results
* DFT total energy: -2.4754 eV per atom
* DOS(E_F): 1.395 states/eV/atom

***

[12]
First-principles (GGA-PBE) data for an optimized crystal structure of Cs2HoInCl6, as listed in Alexandria via LeMat-Bulk.

Structure (CIF):
```
data_Cs2HoInCl6
_chemical_formula_sum 'Cs4 Ho2 In2 Cl12'
_space_group_name_H-M_alt 'P 1 21/c 1'
_space_group_IT_number 14
_cell_length_a 7.913
_cell_length_b 8.151
_cell_length_c 13.810
_cell_angle_alpha 90.00
_cell_angle_beta 124.86
_cell_angle_gamma 90.00
loop_
_space_group_symop_operation_xyz
'x,y,z'
'-x,-y,-z'
'-x,y+1/2,-z+1/2'
'x,-y+1/2,z+1/2'
loop_
_atom_site_label
_atom_site_fract_x
_atom_site_fract_y
_atom_site_fract_z
Cs1 0.236 0.053 0.250
Ho1 0.500 0.000 0.000
In1 0.000 0.000 0.500
Cl1 0.194 0.184 0.964
Cl2 0.280 0.732 0.961
Cl3 0.345 0.018 0.773
```

Results
* DFT total energy: -3.9448 eV per atom
* DOS(E_F): 0.000 states/eV/atom